Er4Ru3Rh: optimized geometry, PBE.

Cell lengths 3.3799, 4.7757, 9.5300 Å; angles 90.00, 90.00, 90.00 degrees
With the nearest neighbours (Å) after each atom.
Element x y z (fractional)
Er (0.0000, 0.0000, 0.0000)  8 Ru 2.93
Er (0.0000, 0.0000, 0.5000)  4 Ru 2.91, 4 Rh 2.93
Er (0.0000, 0.5000, 0.2464)  6 Ru 2.89-2.93, 2 Rh 2.95
Er (0.0000, 0.5000, 0.7536)  6 Ru 2.89-2.93, 2 Rh 2.95
Ru (0.5000, 0.0000, 0.2516)  8 Er 2.91-2.93
Ru (0.5000, 0.0000, 0.7484)  8 Er 2.91-2.93
Ru (0.5000, 0.5000, 0.0000)  8 Er 2.89-2.93
Rh (0.5000, 0.5000, 0.5000)  8 Er 2.93-2.95

Output
formation enthalpy at 0 K	-52	kJ/mol of atoms
V	153.8	Å³ per cell
spin magnetization	0.0000	μB/atom
D(E_F)	7.5	states/eV/f.u.